This record from Alexandria via LeMat-Bulk describes a relaxed PbCI crystal. The functional is PBE.

Summary:
SG: P-1
ΔE_f (raw) (eV per atom): 0.2554
Polymorph energy (0 for the lowest one) (meV per atom): 15
Energy (eV per atom): -4.572

Cell: 4.637 6.581 7.504 Å, 101.58 107.89 107.86°
Element x y z (fractional)
Pb  0.298  0.340  0.737
I  0.468  0.801  0.665
Pb  0.702  0.660  0.263
C  0.137  0.501  0.002
I  0.532  0.199  0.335
C  0.863  0.499  0.998